# 1
# V5Co7, optimized geometry, DFT PBE
data_V5Co7
_chemical_formula_sum 'V10 Co14'
_space_group_name_H-M_alt 'C 1 2/m 1'
_space_group_IT_number 12
_cell_length_a 12.6836
_cell_length_b 2.4610
_cell_length_c 9.3932
_cell_angle_alpha 90.00
_cell_angle_beta 102.62
_cell_angle_gamma 90.00
loop_
_space_group_symop_operation_xyz
'x,y,z'
'-x,-y,-z'
'-x,y,-z'
'x,-y,z'
'x+1/2,y+1/2,z'
'-x+1/2,-y+1/2,-z'
'-x+1/2,y+1/2,-z'
'x+1/2,-y+1/2,z'
loop_
_atom_site_label
_atom_site_type_symbol
_atom_site_fract_x
_atom_site_fract_y
_atom_site_fract_z
V1 V 0.0000 0.0000 0.0000
V2 V 0.1619 0.0000 0.4245
V3 V 0.1767 0.0000 0.1609
Co1 Co 0.0000 0.5000 0.5000
Co2 Co 0.0044 0.0000 0.7456
Co3 Co 0.1586 0.5000 0.9164
Co4 Co 0.1713 0.0000 0.6721
# DFT formation energy ... 139 meV/atom

# 2
# Li4TlSn5, optimized geometry, DFT PBE
data_Li4TlSn5
_chemical_formula_sum 'Li4 Tl1 Sn5'
_space_group_name_H-M_alt 'P 4/m m m'
_space_group_IT_number 123
_space_group_name_Hall '-P 4 2'
_cell_length_a 3.4321
_cell_length_b 3.4321
_cell_length_c 18.8259
_cell_angle_alpha 90.00
_cell_angle_beta 90.00
_cell_angle_gamma 90.00
loop_
_atom_site_label
_atom_site_type_symbol
_atom_site_fract_x
_atom_site_fract_y
_atom_site_fract_z
Li1 Li 0.0000 0.0000 0.0904
Li2 Li 0.0000 0.0000 0.2722
Tl1 Tl 0.0000 0.0000 0.5000
Sn1 Sn 0.5000 0.5000 0.0000
Sn2 Sn 0.5000 0.5000 0.1811
Sn3 Sn 0.5000 0.5000 0.3645
# DFT formation energy ... -234 meV/atom

# 3
# Dy3Pb2, optimized geometry, DFT PBE
data_Dy3Pb2
_chemical_formula_sum 'Dy6 Pb4'
_space_group_name_H-M_alt 'C 1 2/m 1'
_space_group_IT_number 12
_cell_length_a 9.1258
_cell_length_b 5.2772
_cell_length_c 6.5855
_cell_angle_alpha 90.00
_cell_angle_beta 90.02
_cell_angle_gamma 90.00
loop_
_space_group_symop_operation_xyz
'x,y,z'
'-x,-y,-z'
'-x,y,-z'
'x,-y,z'
'x+1/2,y+1/2,z'
'-x+1/2,-y+1/2,-z'
'-x+1/2,y+1/2,-z'
'x+1/2,-y+1/2,z'
loop_
_atom_site_label
_atom_site_type_symbol
_atom_site_fract_x
_atom_site_fract_y
_atom_site_fract_z
Dy1 Dy 0.0000 0.0000 0.0000
Dy2 Dy 0.1670 0.5000 0.3145
Pb1 Pb 0.1666 0.5000 0.7937
# DFT formation energy ... -341 meV/atom

# 4
# Pb2Se, optimized geometry, DFT PBE
data_Pb2Se
_chemical_formula_sum 'Pb4 Se2'
_space_group_name_H-M_alt 'P 63/m m c'
_space_group_IT_number 194
_space_group_name_Hall '-P 6c 2c'
_cell_length_a 5.6493
_cell_length_b 5.6493
_cell_length_c 6.2829
_cell_angle_alpha 90.00
_cell_angle_beta 90.00
_cell_angle_gamma 120.00
loop_
_atom_site_label
_atom_site_type_symbol
_atom_site_fract_x
_atom_site_fract_y
_atom_site_fract_z
Pb1 Pb 0.0000 0.0000 0.0000
Pb2 Pb 0.3333 0.6667 0.2500
Se1 Se 0.3333 0.6667 0.7500
# E above lowest polymorph ... 0.129 eV/atom
# Uncorrected formation energy ... -0.11 eV/atom

# 5
# TaTi2Bi, optimized geometry, DFT PBE
data_TaTi2Bi
_chemical_formula_sum 'Ta4 Ti8 Bi4'
_space_group_name_H-M_alt 'I -4 2 d'
_space_group_IT_number 122
_space_group_name_Hall 'I -4 2bw'
_cell_length_a 7.6353
_cell_length_b 7.6353
_cell_length_c 5.7342
_cell_angle_alpha 90.00
_cell_angle_beta 90.00
_cell_angle_gamma 90.00
loop_
_atom_site_label
_atom_site_type_symbol
_atom_site_fract_x
_atom_site_fract_y
_atom_site_fract_z
Ta1 Ta 0.0000 0.0000 0.0000
Ti1 Ti 0.2297 0.7500 0.1250
Bi1 Bi 0.0000 0.0000 0.5000
# DFT formation energy ... 616 meV/atom

# 6
# Zr2BeTcH, optimized geometry, DFT PBE
data_Zr2BeTcH
_chemical_formula_sum 'Zr2 Be1 Tc1 H1'
_space_group_name_H-M_alt 'P 4/m m m'
_space_group_IT_number 123
_space_group_name_Hall '-P 4 2'
_cell_length_a 4.5553
_cell_length_b 4.5553
_cell_length_c 3.3780
_cell_angle_alpha 90.00
_cell_angle_beta 90.00
_cell_angle_gamma 90.00
loop_
_atom_site_label
_atom_site_type_symbol
_atom_site_fract_x
_atom_site_fract_y
_atom_site_fract_z
Zr1 Zr 0.0000 0.5000 0.0000
Be1 Be 0.0000 0.0000 0.5000
Tc1 Tc 0.5000 0.5000 0.5000
H1 H 0.0000 0.0000 0.0000
# E above lowest polymorph ... 0.000 eV/atom

# 7
# Ce3In2Hg3, optimized geometry, DFT PBE
data_Ce3In2Hg3
_chemical_formula_sum 'Ce6 In4 Hg6'
_space_group_name_H-M_alt 'C 1 2/m 1'
_space_group_IT_number 12
_cell_length_a 18.9326
_cell_length_b 4.6564
_cell_length_c 4.9554
_cell_angle_alpha 90.00
_cell_angle_beta 105.04
_cell_angle_gamma 90.00
loop_
_space_group_symop_operation_xyz
'x,y,z'
'-x,-y,-z'
'-x,y,-z'
'x,-y,z'
'x+1/2,y+1/2,z'
'-x+1/2,-y+1/2,-z'
'-x+1/2,y+1/2,-z'
'x+1/2,-y+1/2,z'
loop_
_atom_site_label
_atom_site_type_symbol
_atom_site_fract_x
_atom_site_fract_y
_atom_site_fract_z
Ce1 Ce 0.0000 0.0000 0.0000
Ce2 Ce 0.1253 0.0000 0.6261
In1 In 0.2460 0.0000 0.2461
Hg1 Hg 0.0000 0.5000 0.5000
Hg2 Hg 0.1313 0.5000 0.1315
# E above lowest polymorph ... 0.026 eV/atom
# DFT formation energy ... -271 meV/atom

# 8
# ZrBeSe, optimized geometry, DFT PBE
data_ZrBeSe
_chemical_formula_sum 'Zr1 Be1 Se1'
_space_group_name_H-M_alt 'P 3 m 1'
_space_group_IT_number 156
_cell_length_a 3.3889
_cell_length_b 3.3889
_cell_length_c 5.4158
_cell_angle_alpha 90.00
_cell_angle_beta 90.00
_cell_angle_gamma 120.00
loop_
_space_group_symop_operation_xyz
'x,y,z'
'-y,x-y,z'
'-x+y,-x,z'
'-y,-x,z'
'-x+y,y,z'
'x,x-y,z'
loop_
_atom_site_label
_atom_site_type_symbol
_atom_site_fract_x
_atom_site_fract_y
_atom_site_fract_z
Zr1 Zr 0.0000 0.0000 0.0000
Be1 Be 0.3333 0.6667 0.3953
Se1 Se 0.6667 0.3333 0.6182
# E above lowest polymorph ... 0.181 eV/atom
# Uncorrected formation energy ... -0.18 eV/atom

# 9
# La2Ce3Pt4, optimized geometry, DFT PBE
data_La2Ce3Pt4
_chemical_formula_sum 'La4 Ce6 Pt8'
_space_group_name_H-M_alt 'P 1 21/c 1'
_space_group_IT_number 14
_cell_length_a 7.8502
_cell_length_b 7.8662
_cell_length_c 7.8355
_cell_angle_alpha 90.00
_cell_angle_beta 110.23
_cell_angle_gamma 90.00
loop_
_space_group_symop_operation_xyz
'x,y,z'
'-x,-y,-z'
'-x,y+1/2,-z+1/2'
'x,-y+1/2,z+1/2'
loop_
_atom_site_label
_atom_site_type_symbol
_atom_site_fract_x
_atom_site_fract_y
_atom_site_fract_z
La1 La 0.1929 0.1774 0.0757
Ce1 Ce 0.2439 0.6603 0.2485
Ce2 Ce 0.5000 0.0000 0.5000
Pt1 Pt 0.0864 0.5423 0.8527
Pt2 Pt 0.4988 0.1338 0.8681
# DFT formation energy ... -1017 meV/atom

# 10
# BaSmBr2, optimized geometry, DFT PBE
data_BaSmBr2
_chemical_formula_sum 'Ba3 Sm3 Br6'
_space_group_name_H-M_alt 'R -3 m'
_space_group_IT_number 166
_space_group_name_Hall '-R 3 2"'
_cell_length_a 3.9509
_cell_length_b 3.9509
_cell_length_c 32.1995
_cell_angle_alpha 90.00
_cell_angle_beta 90.00
_cell_angle_gamma 120.00
loop_
_atom_site_label
_atom_site_type_symbol
_atom_site_fract_x
_atom_site_fract_y
_atom_site_fract_z
Ba1 Ba 0.0000 0.0000 0.0000
Sm1 Sm 0.0000 0.0000 0.5000
Br1 Br 0.0000 0.0000 0.1036
# Uncorrected formation energy ... -1.16 eV/atom

# 11
# MgScGa3, optimized geometry, DFT PBE
data_MgScGa3
_chemical_formula_sum 'Mg1 Sc1 Ga3'
_space_group_name_H-M_alt 'P m -3 m'
_space_group_IT_number 221
_space_group_name_Hall '-P 4 2 3'
_cell_length_a 5.1916
_cell_length_b 5.1916
_cell_length_c 5.1916
_cell_angle_alpha 90.00
_cell_angle_beta 90.00
_cell_angle_gamma 90.00
loop_
_atom_site_label
_atom_site_type_symbol
_atom_site_fract_x
_atom_site_fract_y
_atom_site_fract_z
Mg1 Mg 0.0000 0.0000 0.0000
Sc1 Sc 0.5000 0.5000 0.5000
Ga1 Ga 0.0000 0.5000 0.5000
# E above lowest polymorph ... 0.847 eV/atom
# DFT formation energy ... 470 meV/atom

# 12
# BaCaTl2Te, optimized geometry, DFT PBE
data_BaCaTl2Te
_chemical_formula_sum 'Ba1 Ca1 Tl2 Te1'
_space_group_name_H-M_alt 'P 4/m m m'
_space_group_IT_number 123
_space_group_name_Hall '-P 4 2'
_cell_length_a 5.9359
_cell_length_b 5.9359
_cell_length_c 5.8432
_cell_angle_alpha 90.00
_cell_angle_beta 90.00
_cell_angle_gamma 90.00
loop_
_atom_site_label
_atom_site_type_symbol
_atom_site_fract_x
_atom_site_fract_y
_atom_site_fract_z
Ba1 Ba 0.0000 0.0000 0.0000
Ca1 Ca 0.5000 0.5000 0.5000
Tl1 Tl 0.0000 0.5000 0.5000
Te1 Te 0.5000 0.5000 0.0000
# Uncorrected formation energy ... -0.35 eV/atom

no.,DOS at the Fermi energy (states/eV/atom)
1,1.30
2,0.54
3,0.76
4,0.52
5,1.40
6,0.43
7,2.37
8,0.76
9,2.18
10,0.93
11,1.16
12,0.85